Record 1
A geometry-optimized Cd2HgP structure. Source: Alexandria, functional GGA-PBE.

Lattice parameters (Å, degrees): 4.092 4.895 8.839 90.00 90.00 90.00
Space group Cmm2 (No. 35)
One atom of each set of equivalent atoms:
Cd (0.000, 0.000, 0.000) (multiplicity 2)
Cd (0.000, 0.500, 0.261) (multiplicity 2)
Hg (0.000, 0.500, 0.729) (multiplicity 2)
P (0.000, 0.000, 0.466) (multiplicity 2)

total magnetic moment: 0.000 μB/cell
E: -1.58 eV/atom
ΔE_f: 0.307 eV/atom

=====

Record 2
A geometry-optimized Cd2HgP structure. Source: Alexandria, functional GGA-PBE.

Lattice parameters (Å, degrees): 4.337 4.114 5.640 90.00 111.66 90.00
Space group P2/m (No. 10)
One atom of each set of equivalent atoms:
Cd (0.097, 0.000, 0.273) (multiplicity 2)
Hg (0.500, 0.500, 0.000) (multiplicity 1)
P (0.500, 0.500, 0.500) (multiplicity 1)

total magnetic moment: 0.000 μB/cell
E: -1.72 eV/atom
ΔE_f: 0.164 eV/atom

=====

Record 3
A geometry-optimized Cd2HgP structure. Source: Alexandria, functional GGA-PBE.

Lattice parameters (Å, degrees): 2.892 3.823 7.954 90.00 90.00 90.00
Space group Pmmm (No. 47)
One atom of each set of equivalent atoms:
Cd (0.000, 0.000, 0.216) (multiplicity 2)
Hg (0.500, 0.500, 0.500) (multiplicity 1)
P (0.500, 0.500, 0.000) (multiplicity 1)

total magnetic moment: 0.000 μB/cell
E: -1.67 eV/atom
ΔE_f: 0.213 eV/atom

=====

Record 4
A geometry-optimized Cd4HgP structure. Source: Alexandria, functional GGA-PBE.

Lattice parameters (Å, degrees): 8.207 8.207 8.207 90.00 90.00 90.00
Space group F-43m (No. 216)
One atom of each set of equivalent atoms:
Cd (0.125, 0.125, 0.125) (multiplicity 16)
Hg (0.250, 0.250, 0.750) (multiplicity 4)
P (0.000, 0.000, 0.500) (multiplicity 4)

total magnetic moment: 0.000 μB/cell
E: -1.24 eV/atom
ΔE_f: 0.325 eV/atom

=====

Record 5
A geometry-optimized Cd2HgP structure. Source: Alexandria, functional GGA-PBE.

Lattice parameters (Å, degrees): 4.185 4.185 9.808 90.00 90.00 90.00
Space group I-4m2 (No. 119)
One atom of each set of equivalent atoms:
Cd (0.000, 0.000, 0.000) (multiplicity 2)
Cd (0.000, 0.500, 0.250) (multiplicity 2)
Hg (0.000, 0.500, 0.750) (multiplicity 2)
P (0.000, 0.000, 0.500) (multiplicity 2)

total magnetic moment: 0.000 μB/cell
E: -1.62 eV/atom
ΔE_f: 0.261 eV/atom

=====

Record 6
A geometry-optimized Cd2HgP2 structure. Source: Alexandria, functional GGA-PBE.

Lattice parameters (Å, degrees): 3.406 3.406 17.966 90.00 90.00 90.00
Space group I4/mmm (No. 139)
One atom of each set of equivalent atoms:
Cd (0.000, 0.000, 0.109) (multiplicity 4)
Hg (0.000, 0.000, 0.500) (multiplicity 2)
P (0.000, 0.500, 0.250) (multiplicity 4)

total magnetic moment: 0.000 μB/cell
E: -2.40 eV/atom
ΔE_f: 0.187 eV/atom

=====

Record 7
A geometry-optimized Cd2HgP structure. Source: Alexandria, functional GGA-PBE.

Lattice parameters (Å, degrees): 7.049 7.049 7.049 90.00 90.00 90.00
Space group Fm-3m (No. 225)
One atom of each set of equivalent atoms:
Cd (0.250, 0.250, 0.250) (multiplicity 8)
Hg (0.000, 0.000, 0.000) (multiplicity 4)
P (0.000, 0.000, 0.500) (multiplicity 4)

total magnetic moment: 0.000 μB/cell
E: -1.64 eV/atom
ΔE_f: 0.246 eV/atom

=====

Record 8
A geometry-optimized Cd2HgP structure. Source: Alexandria, functional GGA-PBE.

Lattice parameters (Å, degrees): 6.630 6.630 11.322 90.00 90.00 90.00
Space group I-42d (No. 122)
One atom of each set of equivalent atoms:
Cd (0.186, 0.250, 0.125) (multiplicity 8)
Hg (0.000, 0.000, 0.500) (multiplicity 4)
P (0.000, 0.000, 0.000) (multiplicity 4)

total magnetic moment: 0.000 μB/cell
E: -1.72 eV/atom
ΔE_f: 0.162 eV/atom

=====

Record 9
A geometry-optimized Cd2HgP structure. Source: Alexandria, functional GGA-PBE.

Lattice parameters (Å, degrees): 7.053 7.053 7.053 90.00 90.00 90.00
Space group F-43m (No. 216)
One atom of each set of equivalent atoms:
Cd (0.000, 0.000, 0.000) (multiplicity 4)
Cd (0.250, 0.250, 0.250) (multiplicity 4)
Hg (0.000, 0.000, 0.500) (multiplicity 4)
P (0.250, 0.250, 0.750) (multiplicity 4)

total magnetic moment: 0.001 μB/cell
E: -1.53 eV/atom
ΔE_f: 0.359 eV/atom

=====

Record 10
A geometry-optimized Cd3HgP structure. Source: Alexandria, functional GGA-PBE.

Lattice parameters (Å, degrees): 5.386 5.386 5.386 90.00 90.00 90.00
Space group Pm-3m (No. 221)
One atom of each set of equivalent atoms:
Cd (0.000, 0.000, 0.500) (multiplicity 3)
Hg (0.000, 0.000, 0.000) (multiplicity 1)
P (0.500, 0.500, 0.500) (multiplicity 1)

total magnetic moment: 1.291 μB/cell
E: -0.96 eV/atom
ΔE_f: 0.729 eV/atom

=====

Record 11
A geometry-optimized Cd2HgP structure. Source: Alexandria, functional GGA-PBE.

Lattice parameters (Å, degrees): 3.881 3.881 6.430 90.00 90.00 90.00
Space group P4mm (No. 99)
One atom of each set of equivalent atoms:
Cd (0.000, 0.000, 0.000) (multiplicity 1)
Cd (0.500, 0.500, 0.382) (multiplicity 1)
Hg (0.000, 0.000, 0.537) (multiplicity 1)
P (0.500, 0.500, 0.977) (multiplicity 1)

total magnetic moment: 0.000 μB/cell
E: -1.70 eV/atom
ΔE_f: 0.184 eV/atom

=====

Record 12
A geometry-optimized CdHgP structure. Source: Alexandria, functional GGA-PBE.

Lattice parameters (Å, degrees): 4.2109 4.2109 4.4468 90.00 90.00 120.00
Space group P3m1 (No. 156)
One atom of each set of equivalent atoms:
Cd (0.0000, 0.0000, 0.0000) (multiplicity 1)
Hg (0.3333, 0.6667, 0.4263) (multiplicity 1)
P (0.6667, 0.3333, 0.7433) (multiplicity 1)

total magnetic moment: 0.000 μB/cell
E: -1.98 eV/atom
ΔE_f: 0.232 eV/atom

=====

Record 13
A geometry-optimized Cd2HgP structure. Source: Alexandria, functional GGA-PBE.

Lattice parameters (Å, degrees): 3.955 4.213 5.246 90.00 90.00 90.00
Space group Pmmm (No. 47)
One atom of each set of equivalent atoms:
Cd (0.000, 0.000, 0.000) (multiplicity 1)
Cd (0.000, 0.500, 0.500) (multiplicity 1)
Hg (0.500, 0.000, 0.500) (multiplicity 1)
P (0.500, 0.500, 0.000) (multiplicity 1)

total magnetic moment: 0.000 μB/cell
E: -1.63 eV/atom
ΔE_f: 0.255 eV/atom

=====

Record 14
A geometry-optimized CdHgP structure. Source: Alexandria, functional GGA-PBE.

Lattice parameters (Å, degrees): 3.147 3.147 13.016 90.00 90.00 90.00
Space group I4mm (No. 107)
One atom of each set of equivalent atoms:
Cd (0.000, 0.000, 0.000) (multiplicity 2)
Hg (0.000, 0.000, 0.319) (multiplicity 2)
P (0.000, 0.000, 0.637) (multiplicity 2)

total magnetic moment: 0.000 μB/cell
E: -1.81 eV/atom
ΔE_f: 0.399 eV/atom

=====

Record 15
A geometry-optimized Rb2CdHgP structure. Source: Alexandria, functional GGA-PBE.

Lattice parameters (Å, degrees): 6.720 6.720 5.040 90.00 90.00 90.00
Space group P4/mmm (No. 123)
One atom of each set of equivalent atoms:
Rb (0.000, 0.500, 0.000) (multiplicity 2)
Cd (0.000, 0.000, 0.500) (multiplicity 1)
Hg (0.500, 0.500, 0.500) (multiplicity 1)
P (0.000, 0.000, 0.000) (multiplicity 1)

total magnetic moment: 0.000 μB/cell
E: -1.85 eV/atom
ΔE_f: -0.135 eV/atom

=====

Record 16
A geometry-optimized CdReHg2P structure. Source: Alexandria, functional GGA-PBE.

Lattice parameters (Å, degrees): 5.261 5.261 5.384 90.00 90.00 90.00
Space group P4/mmm (No. 123)
One atom of each set of equivalent atoms:
Cd (0.000, 0.000, 0.000) (multiplicity 1)
Re (0.000, 0.000, 0.500) (multiplicity 1)
Hg (0.000, 0.500, 0.000) (multiplicity 2)
P (0.500, 0.500, 0.500) (multiplicity 1)

total magnetic moment: 2.739 μB/cell
E: -2.11 eV/atom
ΔE_f: 1.770 eV/atom

=====

Record 17
A geometry-optimized CdReHgP2 structure. Source: Alexandria, functional GGA-PBE.

Lattice parameters (Å, degrees): 4.554 4.554 5.601 90.00 90.00 90.00
Space group P4/mmm (No. 123)
One atom of each set of equivalent atoms:
Cd (0.000, 0.000, 0.000) (multiplicity 1)
Re (0.000, 0.000, 0.500) (multiplicity 1)
Hg (0.500, 0.500, 0.000) (multiplicity 1)
P (0.000, 0.500, 0.500) (multiplicity 2)

total magnetic moment: 0.000 μB/cell
E: -4.63 eV/atom
ΔE_f: 0.267 eV/atom

=====

Record 18
A geometry-optimized CdHgP2S structure. Source: Alexandria, functional GGA-PBE.

Lattice parameters (Å, degrees): 5.085 5.085 4.986 90.00 90.00 90.00
Space group P4/mmm (No. 123)
One atom of each set of equivalent atoms:
Cd (0.000, 0.000, 0.000) (multiplicity 1)
Hg (0.500, 0.500, 0.500) (multiplicity 1)
P (0.000, 0.500, 0.000) (multiplicity 2)
S (0.000, 0.000, 0.500) (multiplicity 1)

total magnetic moment: 2.132 μB/cell
energy relative to the elements, uncorrected: 1.095 eV/atom
E: -2.14 eV/atom

=====

Record 19
A geometry-optimized PaCdHg4 structure. Source: Alexandria, functional GGA-PBE.

Lattice parameters (Å, degrees): 3.079 5.096 9.146 90.00 90.11 90.00
Space group P2/m (No. 10)
One atom of each set of equivalent atoms:
Pa (0.000, 0.000, 0.000) (multiplicity 1)
Cd (0.000, 0.500, 0.500) (multiplicity 1)
Hg (0.499, 0.000, 0.664) (multiplicity 2)
Hg (0.499, 0.500, 0.832) (multiplicity 2)

total magnetic moment: 1.205 μB/cell
E: -1.89 eV/atom
ΔE_f: 0.047 eV/atom

=====

Record 20
A geometry-optimized Pa2Cd3Hg3 structure. Source: Alexandria, functional GGA-PBE.

Lattice parameters (Å, degrees): 8.8562 8.8562 8.7672 90.00 90.00 120.00
Space group R32 (No. 155, hexagonal axes)
One atom of each set of equivalent atoms:
Pa (0.0000, 0.0000, 0.1484) (multiplicity 6)
Cd (0.0000, 0.7734, 0.5000) (multiplicity 9)
Hg (0.0000, 0.3278, 0.0000) (multiplicity 9)

total magnetic moment: 2.460 μB/cell
E: -2.65 eV/atom
ΔE_f: 0.179 eV/atom